*a*
This record from the Alexandria database describes an optimized crystal structure of Nd2GaSn2. The functional is PBE.

Geometry as POSCAR:
```
Nd2GaSn2
1.0
-0.5916 1.8380 4.1120
4.5839 -1.7339 3.9439
5.4932 9.0154 -0.7301
Nd Ga Sn
4 2 4
direct
0.6981 0.2608 0.3430
0.9074 0.2814 0.9038
0.3019 0.7392 0.6570
0.0926 0.7186 0.0962
0.5316 0.2206 0.7161
0.4684 0.7794 0.2839
0.0734 0.2818 0.5714
0.6442 0.8330 0.8785
0.9266 0.7182 0.4286
0.3558 0.1670 0.1215
```

- Crystal system: monoclinic
- Magnetization: 0.0 μB per formula unit


*b*
This record from the Alexandria database describes an optimized crystal structure of Nd2GaSn2. The functional is PBE.

Geometry as POSCAR:
```
Nd2GaSn2
1.0
-3.2268 2.0197 -2.5290
1.0148 -4.6801 -5.0325
-4.6520 -6.3655 4.9816
Nd Ga Sn
4 2 4
direct
0.9900 0.7313 0.9801
0.7917 0.4291 0.5835
0.2083 0.9291 0.4165
0.0100 0.2313 0.0199
0.4068 0.0589 0.8136
0.5932 0.5589 0.1864
0.4125 0.4646 0.8249
0.8309 0.9505 0.6618
0.1691 0.4505 0.3382
0.5875 0.9646 0.1751
```

- Crystal system: orthorhombic
- Magnetization: 0.0 μB per formula unit


Which structure wins on stability? *a* wins.